No. 1
A plane-wave DFT calculation with PBE was carried out for a relaxed structure of K3Tl8.

abc: 12.4335 5.2501 12.7159
angles: 90.00 104.83 90.00
Closest atoms and distances in Å follow each position.
Space group C2/m (No. 12)
Asymmetric unit:
K1 0.0000 0.0000 0.0000 (multiplicity 2)  8 Tl 3.62-3.96
K2 0.0010 0.5000 0.3434 (multiplicity 4)  9 Tl 3.59-3.98, 1 K 3.99
Tl1 0.1696 0.0000 0.5399 (multiplicity 4)  6 Tl 3.24-3.61
Tl2 0.1706 0.5000 0.9304 (multiplicity 4)  5 Tl 3.24-3.48, 3 K 3.59-3.62
Tl3 0.1810 0.0000 0.2882 (multiplicity 4)  3 Tl 3.18-3.24
Tl4 0.2348 0.0000 0.8073 (multiplicity 4)  6 Tl 3.18-3.29

Summary:
Energy of formation from the pure elements = -0.08 eV/atom

=====

No. 2
A plane-wave DFT calculation with PBE was carried out for a relaxed structure of ZrTcMo2.

abc: 7.3682 7.3682 5.4061
angles: 90.00 90.00 90.00
Closest atoms and distances in Å follow each position.
Space group I-42d (No. 122)
Asymmetric unit:
Zr1 0.0000 0.0000 0.0000 (multiplicity 4)  2 Tc 2.70, 4 Mo 2.87
Tc1 0.0000 0.0000 0.5000 (multiplicity 4)  4 Mo 2.53, 2 Zr 2.70
Mo1 0.2160 0.2500 0.6250 (multiplicity 8)  2 Tc 2.53, 2 Mo 2.75

Summary:
Energy of formation from the pure elements = 0.53 eV/atom
Energy above the most stable polymorph in this dataset = 652 meV per atom

=====

No. 3
A plane-wave DFT calculation with PBE was carried out for a relaxed structure of Ac2Sb4PdPt3.

abc: 4.7730 4.7730 10.5774
angles: 90.00 90.00 90.00
Closest atoms and distances in Å follow each position.
Space group P-4m2 (No. 115)
Asymmetric unit:
Ac1 0.0000 0.5000 0.2398 (multiplicity 2)  2 Pd 3.48, 6 Pt 3.48-3.68, 9 Sb 3.58-3.87
Sb1 0.0000 0.0000 0.5000 (multiplicity 1)  4 Pt 2.72
Sb2 0.0000 0.5000 0.8738 (multiplicity 2)  3 Pt 2.66-2.73, 2 Pd 2.73
Sb3 0.5000 0.5000 0.5000 (multiplicity 1)  4 Pt 2.72
Pd1 0.5000 0.5000 0.0000 (multiplicity 1)  4 Sb 2.73
Pt1 0.0000 0.0000 0.0000 (multiplicity 1)  4 Sb 2.73
Pt2 0.0000 0.5000 0.6226 (multiplicity 2)  5 Sb 2.66-2.72

Summary:
Uncorrected formation energy = -0.9233 eV/atom

=====

No. 4
A plane-wave DFT calculation with PBE was carried out for a relaxed structure of NaHoTlBi.

abc: 7.6921 7.6921 7.6921
angles: 90.00 90.00 90.00
Closest atoms and distances in Å follow each position.
Space group F-43m (No. 216)
Asymmetric unit:
Na1 0.0000 0.0000 0.0000 (multiplicity 4)  4 Bi 3.33, 4 Tl 3.33
Ho1 0.0000 0.0000 0.5000 (multiplicity 4)  4 Tl 3.33, 4 Bi 3.33
Tl1 0.2500 0.2500 0.2500 (multiplicity 4)  4 Na 3.33, 4 Ho 3.33
Bi1 0.2500 0.2500 0.7500 (multiplicity 4)  4 Na 3.33, 4 Ho 3.33

Summary:
Energy of formation from the pure elements = -0.28 eV/atom

=====

No. 5
A plane-wave DFT calculation with PBE was carried out for a relaxed structure of Hf4ZrTi.

abc: 3.1693 16.3517 10.1189
angles: 90.00 90.00 90.00
Closest atoms and distances in Å follow each position.
Space group Cmc2_1 (No. 36)
Asymmetric unit:
Hf1 0.0000 0.0027 0.0000 (multiplicity 4)  2 Ti 3.07, 10 Hf 3.09-3.25
Hf2 0.0000 0.1137 0.7520 (multiplicity 4)  2 Ti 3.03, 8 Hf 3.10-3.18, 2 Zr 3.17
Hf3 0.0000 0.3291 0.9964 (multiplicity 4)  3 Zr 3.06-3.14, 2 Ti 3.14, 7 Hf 3.15-3.25
Hf4 0.0000 0.4461 0.7494 (multiplicity 4)  9 Hf 3.09-3.17, 2 Zr 3.13, 1 Ti 3.14
Zr1 0.0000 0.2188 0.2404 (multiplicity 4)  7 Hf 3.06-3.17, 3 Ti 3.08-3.21, 2 Zr 3.17
Ti1 0.0000 0.3366 0.4948 (multiplicity 4)  7 Hf 3.03-3.14, 3 Zr 3.08-3.21, 2 Ti 3.17

Summary:
Energy of formation from the pure elements = 0.08 eV/atom

=====

No. 6
A plane-wave DFT calculation with PBE was carried out for a relaxed structure of PrSi6Ni12.

abc: 10.4117 10.4117 7.8397
angles: 90.00 90.00 120.00
Closest atoms and distances in Å follow each position.
Space group R-3m (No. 166, hexagonal axes)
Asymmetric unit:
Pr1 0.0000 0.0000 0.0000 (multiplicity 3)  18 Ni 3.14-3.52, 6 Si 3.38
Si1 0.0374 0.5187 0.2684 (multiplicity 18)  7 Ni 2.24-2.36
Ni1 0.0000 0.3767 0.5000 (multiplicity 18)  4 Si 2.24-2.25
Ni2 0.0891 0.1782 0.3446 (multiplicity 18)  3 Si 2.28-2.36

Summary:
Uncorrected formation energy = -0.5077 eV/atom

=====

No. 7
A plane-wave DFT calculation with PBE was carried out for a relaxed structure of LiHfB.

abc: 3.6517 4.5026 5.7193
angles: 74.63 71.82 83.11
Closest atoms and distances in Å follow each position.
Space group P-1 (No. 2)
Asymmetric unit:
Li1 0.0727 0.2558 0.3211 (multiplicity 2)  1 B 2.15
Hf1 0.3101 0.2128 0.7986 (multiplicity 2)  4 B 2.33-2.53
B1 0.3680 0.6587 0.9507 (multiplicity 2)  1 B 1.69

Summary:
Energy of formation from the pure elements = -0.03 eV/atom
Energy above the most stable polymorph in this dataset = 325 meV per atom

=====

No. 8
A plane-wave DFT calculation with PBE was carried out for a relaxed structure of Rb2Ag2As.

abc: 3.8725 3.8725 22.0576
angles: 90.00 90.00 90.00
Closest atoms and distances in Å follow each position.
Space group I4/mmm (No. 139)
Asymmetric unit:
Rb1 0.0000 0.0000 0.1011 (multiplicity 4)  4 As 3.53, 4 Ag 3.81, 4 Rb 3.87
Ag1 0.0000 0.5000 0.2500 (multiplicity 4)  4 Ag 2.74
As1 0.0000 0.0000 0.5000 (multiplicity 2)  8 Rb 3.53, 4 As 3.87

Summary:
Energy of formation from the pure elements = 0.06 eV/atom
Energy above the most stable polymorph in this dataset = 71 meV per atom

=====

No. 9
A plane-wave DFT calculation with PBE was carried out for a relaxed structure of YSc2Mo.

abc: 3.1222 3.1222 32.8464
angles: 90.00 90.00 120.00
Closest atoms and distances in Å follow each position.
Space group R-3m (No. 166, hexagonal axes)
Asymmetric unit:
Y1 0.0000 0.0000 0.0000 (multiplicity 3)  6 Y 3.12, 6 Sc 3.39
Sc1 0.0000 0.0000 0.4207 (multiplicity 6)  1 Mo 2.60
Mo1 0.0000 0.0000 0.5000 (multiplicity 3)  2 Sc 2.60

Summary:
Energy of formation from the pure elements = 0.57 eV/atom
Energy above the most stable polymorph in this dataset = 423 meV per atom

=====

No. 10
A plane-wave DFT calculation with PBE was carried out for a relaxed structure of NdSm6Dy3Sc2.

abc: 6.1636 10.6712 11.7041
angles: 90.00 100.08 90.00
Closest atoms and distances in Å follow each position.
Space group C2/m (No. 12)
Asymmetric unit:
Nd1 0.0000 0.0000 0.0000 (multiplicity 2)  6 Sm 3.52, 6 Sc 3.56
Sm1 0.2456 0.5000 0.2464 (multiplicity 4)  2 Sc 3.50, 1 Nd 3.52, 6 Sm 3.54-3.60, 3 Dy 3.56-3.58
Sm2 0.2488 0.3315 0.7535 (multiplicity 8)  2 Sc 3.50, 1 Nd 3.52, 6 Sm 3.54-3.60, 3 Dy 3.56-3.58
Dy1 0.0000 0.1669 0.5000 (multiplicity 4)  6 Dy 3.55-3.56, 6 Sm 3.56-3.58
Dy2 0.0000 0.5000 0.5000 (multiplicity 2)  6 Dy 3.55-3.56, 6 Sm 3.56-3.58
Sc1 0.0000 0.3334 0.0000 (multiplicity 4)  6 Sm 3.50, 3 Sc 3.56, 3 Nd 3.56

Summary:
Energy of formation from the pure elements = 0.04 eV/atom

=====

No. 11
A plane-wave DFT calculation with PBE was carried out for a relaxed structure of HoBe17Ni.

abc: 7.4914 7.4914 10.8987
angles: 90.00 90.00 120.00
Closest atoms and distances in Å follow each position.
Space group R3m (No. 160, hexagonal axes)
Asymmetric unit:
Ho1 0.0000 0.0000 0.0000 (multiplicity 3)  19 Be 2.71-2.85
Be1 0.0000 0.0000 0.2491 (multiplicity 3)  4 Be 2.12-2.25
Be2 0.0000 0.0000 0.4434 (multiplicity 3)  7 Be 2.12-2.33, 1 Ni 2.32
Be3 0.0065 0.5033 0.4991 (multiplicity 9)  9 Be 2.15-2.38
Be4 0.0088 0.2986 0.3442 (multiplicity 18)  8 Be 2.10-2.30
Be5 0.0102 0.5051 0.8405 (multiplicity 9)  10 Be 2.14-2.33
Be6 0.0212 0.5106 0.1942 (multiplicity 9)  9 Be 2.15-2.26
Ni1 0.0000 0.0000 0.6559 (multiplicity 3)  4 Be 2.32-2.46

Summary:
Energy of formation from the pure elements = -0.06 eV/atom

=====

No. 12
A plane-wave DFT calculation with PBE was carried out for a relaxed structure of Li3TaI.

abc: 5.1387 5.1387 5.1387
angles: 90.00 90.00 90.00
Closest atoms and distances in Å follow each position.
Space group Pm-3m (No. 221)
Asymmetric unit:
Li1 0.0000 0.0000 0.5000 (multiplicity 3)  2 I 2.57
Ta1 0.5000 0.5000 0.5000 (multiplicity 1)  12 Li 3.63
I1 0.0000 0.0000 0.0000 (multiplicity 1)  6 Li 2.57

Summary:
Uncorrected formation energy = 0.8272 eV/atom
Energy above the most stable polymorph in this dataset = 0 meV per atom

=====

Number 1: calculated total energy -0.1540 Ry/atom, size of the total moment 0.000 μB/f.u.. Number 2: calculated total energy -0.7066 Ry/atom, size of the total moment 0.000 μB/f.u.. Number 3: calculated total energy -0.4208 Ry/atom, size of the total moment 0.000 μB/f.u.. Number 4: calculated total energy -0.2438 Ry/atom, size of the total moment 0.000 μB/f.u.. Number 5: calculated total energy -0.6834 Ry/atom, size of the total moment 0.000 μB/f.u.. Number 6: calculated total energy -0.4500 Ry/atom, size of the total moment 0.000 μB/f.u.. Number 7: calculated total energy -0.4566 Ry/atom, size of the total moment 0.000 μB/f.u.. Number 8: calculated total energy -0.1764 Ry/atom, size of the total moment 0.000 μB/f.u.. Number 9: calculated total energy -0.5088 Ry/atom, size of the total moment 0.000 μB/f.u.. Number 10: calculated total energy -0.3621 Ry/atom, size of the total moment 0.000 μB/f.u.. Number 11: calculated total energy -0.2893 Ry/atom, size of the total moment 0.000 μB/f.u.. Number 12: calculated total energy -0.2206 Ry/atom, size of the total moment 4.965 μB/f.u..